Density functional theory data (meta-GGA SCAN) for Ti3O4 at its PBEsol-relaxed geometry.

a b c (Å): 4.989 4.989 4.989
angles (deg): 131.38 131.38 71.21
Element x y z (fractional)
1 Ti 0.000 0.000 0.000
2 Ti 0.250 0.750 0.500
3 Ti 0.750 0.250 0.500
4 O 0.000 0.500 0.500
5 O 0.258 0.258 0.000
6 O 0.500 0.000 0.500
7 O 0.742 0.742 0.000

Computed properties:
Formation energy from raw total energies, meV/atom: -3029
Size of the total moment, μB per cell: 0.00
Polymorph energy (0 for the lowest one), kJ/mol of atoms: 0.0
SG: I4/mmm
Calculated total energy, eV per atom: -13.46

***

Density functional theory data (meta-GGA SCAN) for In3FePb at its PBEsol-relaxed geometry.

a b c (Å): 5.620 5.620 5.620
angles (deg): 90.00 90.00 90.00
Element x y z (fractional)
1 In 0.000 0.000 0.500
2 In 0.000 0.500 0.000
3 In 0.500 0.000 0.000
4 Fe 0.500 0.500 0.500
5 Pb 0.000 0.000 0.000

Computed properties:
Size of the total moment, μB per cell: 3.27
E_form, meV per atom: 1194
SG: Pm-3m
Calculated total energy, eV per atom: -37.62